[1]
A relaxed structure of YNiB2, computed with PBE.

a b c (Å): 4.1022 4.1022 4.1022
angles (deg): 60.00 60.00 60.00
Closest atoms and distances in Å follow each position.
Sites, in units of the cell vectors:
Y 0.0000 0.0000 0.0000  8 B 2.51
Ni 0.5000 0.5000 0.5000  8 B 2.51
B 0.2500 0.2500 0.2500  4 Ni 2.51, 4 Y 2.51
B 0.7500 0.7500 0.7500  4 Ni 2.51, 4 Y 2.51

Values from the calculation:
D(E_F)   2.56 states/eV/f.u.
Offset from the most stable computed form   2.59 eV/f.u.

---

[2]
A relaxed structure of TbThGaGe, computed with PBE.

a b c (Å): 4.0777 5.9415 5.9415
angles (deg): 43.39 90.00 90.00
Closest atoms and distances in Å follow each position.
Sites, in units of the cell vectors:
Tb 0.0000 0.0000 0.0000  4 Ge 3.07, 3 Ga 3.13-3.25
Th 0.5000 0.7191 0.7191  4 Ga 3.08, 3 Ge 3.09-3.28
Ga 0.0000 0.2835 0.2835  2 Ge 2.67
Ge 0.5000 0.4395 0.4395  2 Ga 2.67

Values from the calculation:
D(E_F)   3.44 states/eV/f.u.

---

Record-wise DFT formation energy values, in eV/atom: 0.375 -0.701
Record-wise theoretical density values, in Mg/m³: 5.76 8.96